# 1
CePu2Ga9: optimized geometry, PBE.

Summary:
**Offset from the most stable computed form**: 79 meV per atom
**Crystal system**: trigonal
**Space group**: No. 166
**ΔH_f (0 K)**: -0.334 eV/atom

Lattice parameters (Å, degrees): 9.383 9.383 9.383 34.48 34.48 34.48
Sites, in units of the cell vectors:
Ce (0.000, 0.000, 0.000)
Pu (0.141, 0.141, 0.141)
Pu (0.859, 0.859, 0.859)
Ga (0.075, 0.589, 0.589)
Ga (0.337, 0.337, 0.337)
Ga (0.411, 0.411, 0.925)
Ga (0.411, 0.925, 0.411)
Ga (0.500, 0.500, 0.500)
Ga (0.589, 0.075, 0.589)
Ga (0.589, 0.589, 0.075)
Ga (0.663, 0.663, 0.663)
Ga (0.925, 0.411, 0.411)

=====

# 2
Ce8Pu3Ga2: optimized geometry, PBE.

Summary:
**Offset from the most stable computed form**: 0 meV per atom
**Crystal system**: monoclinic
**Space group**: No. 12
**ΔH_f (0 K)**: -0.005 eV/atom

Lattice parameters (Å, degrees): 7.613 7.613 8.081 110.62 110.62 50.30
Sites, in units of the cell vectors:
Ce (0.079, 0.079, 0.332)
Ce (0.118, 0.634, 0.051)
Ce (0.277, 0.277, 0.663)
Ce (0.366, 0.882, 0.949)
Ce (0.634, 0.118, 0.051)
Ce (0.723, 0.723, 0.337)
Ce (0.882, 0.366, 0.949)
Ce (0.921, 0.921, 0.668)
Pu (0.271, 0.729, 0.500)
Pu (0.500, 0.500, 0.000)
Pu (0.729, 0.271, 0.500)
Ga (0.287, 0.287, 0.291)
Ga (0.713, 0.713, 0.709)

=====

# 3
Ce2PuGa3: optimized geometry, PBE.

Summary:
**Offset from the most stable computed form**: 9 meV per atom
**Crystal system**: orthorhombic
**Space group**: No. 69
**ΔH_f (0 K)**: -0.414 eV/atom

Lattice parameters (Å, degrees): 9.507 8.875 5.871 77.34 65.61 37.05
Sites, in units of the cell vectors:
Ce (0.232, 0.768, 0.768)
Ce (0.250, 0.250, 0.250)
Ce (0.750, 0.750, 0.750)
Ce (0.768, 0.232, 0.232)
Pu (0.167, 0.167, 0.833)
Pu (0.833, 0.833, 0.167)
Ga (0.186, 0.655, 0.345)
Ga (0.342, 0.342, 0.658)
Ga (0.345, 0.814, 0.186)
Ga (0.655, 0.186, 0.814)
Ga (0.658, 0.658, 0.342)
Ga (0.814, 0.345, 0.655)

=====

# 4
Ce2PuGa2: optimized geometry, PBE.

Summary:
**Offset from the most stable computed form**: 59 meV per atom
**Crystal system**: monoclinic
**Space group**: No. 12
**ΔH_f (0 K)**: -0.312 eV/atom

Lattice parameters (Å, degrees): 5.601 5.601 7.009 126.21 126.21 42.44
Sites, in units of the cell vectors:
Ce (0.074, 0.074, 0.372)
Ce (0.926, 0.926, 0.628)
Pu (0.500, 0.500, 0.000)
Ga (0.279, 0.279, 0.168)
Ga (0.721, 0.721, 0.832)

=====

# 5
CePu4Ga5: optimized geometry, PBE.

Summary:
**Crystal system**: tetragonal
**Space group**: No. 123
**ΔH_f (0 K)**: -0.314 eV/atom

Lattice parameters (Å, degrees): 3.919 3.919 14.507 90.00 90.00 90.00
Sites, in units of the cell vectors:
Ce (0.000, 0.000, 0.000)
Pu (0.000, 0.000, 0.199)
Pu (0.000, 0.000, 0.401)
Pu (0.000, 0.000, 0.599)
Pu (0.000, 0.000, 0.801)
Ga (0.500, 0.500, 0.104)
Ga (0.500, 0.500, 0.300)
Ga (0.500, 0.500, 0.500)
Ga (0.500, 0.500, 0.700)
Ga (0.500, 0.500, 0.896)

=====

# 6
CePuGa2: optimized geometry, PBE.

Summary:
**Offset from the most stable computed form**: 249 meV per atom
**Crystal system**: trigonal
**Space group**: No. 166
**ΔH_f (0 K)**: -0.158 eV/atom

Lattice parameters (Å, degrees): 10.245 10.245 10.245 18.30 18.30 18.30
Sites, in units of the cell vectors:
Ce (0.000, 0.000, 0.000)
Pu (0.500, 0.500, 0.500)
Ga (0.249, 0.249, 0.249)
Ga (0.751, 0.751, 0.751)

=====

# 7
Ce2PuGa3: optimized geometry, PBE.

Summary:
**Offset from the most stable computed form**: 0 meV per atom
**Crystal system**: tetragonal
**Space group**: No. 123
**ΔH_f (0 K)**: -0.423 eV/atom

Lattice parameters (Å, degrees): 3.210 3.210 13.039 90.00 90.00 90.00
Sites, in units of the cell vectors:
Ce (0.000, 0.000, 0.167)
Ce (0.000, 0.000, 0.833)
Pu (0.000, 0.000, 0.500)
Ga (0.500, 0.500, 0.000)
Ga (0.500, 0.500, 0.336)
Ga (0.500, 0.500, 0.664)

=====

# 8
CePuGa: optimized geometry, PBE.

Summary:
**Offset from the most stable computed form**: 0 meV per atom
**Crystal system**: tetragonal
**Space group**: No. 107
**ΔH_f (0 K)**: -0.306 eV/atom

Lattice parameters (Å, degrees): 5.394 5.394 5.394 137.80 137.80 61.20
Sites, in units of the cell vectors:
Ce (0.000, 0.000, 0.000)
Pu (0.683, 0.683, 0.000)
Ga (0.341, 0.341, 0.000)

=====

# 9
Ce2Pu5Ga3: optimized geometry, PBE.

Summary:
**Crystal system**: triclinic
**Space group**: No. 2
**ΔH_f (0 K)**: -0.152 eV/atom

Lattice parameters (Å, degrees): 7.756 8.029 8.304 105.53 113.58 98.28
Sites, in units of the cell vectors:
Ce (0.045, 0.494, 0.314)
Ce (0.355, 0.000, 0.097)
Ce (0.645, 0.000, 0.903)
Ce (0.955, 0.506, 0.686)
Pu (0.119, 0.324, 0.033)
Pu (0.209, 0.206, 0.669)
Pu (0.310, 0.830, 0.363)
Pu (0.439, 0.319, 0.552)
Pu (0.457, 0.353, 0.264)
Pu (0.543, 0.647, 0.736)
Pu (0.561, 0.681, 0.448)
Pu (0.690, 0.170, 0.637)
Pu (0.791, 0.794, 0.331)
Pu (0.881, 0.676, 0.967)
Ga (0.056, 0.071, 0.241)
Ga (0.205, 0.823, 0.666)
Ga (0.384, 0.607, 0.012)
Ga (0.616, 0.393, 0.988)
Ga (0.795, 0.177, 0.334)
Ga (0.944, 0.929, 0.759)

=====

# 10
Ce4PuGa4: optimized geometry, PBE.

Summary:
**Crystal system**: tetragonal
**Space group**: No. 137
**ΔH_f (0 K)**: -0.335 eV/atom

Lattice parameters (Å, degrees): 8.375 8.375 6.321 90.00 90.00 90.00
Sites, in units of the cell vectors:
Ce (0.030, 0.250, 0.122)
Ce (0.250, 0.030, 0.622)
Ce (0.250, 0.470, 0.622)
Ce (0.470, 0.250, 0.122)
Ce (0.530, 0.750, 0.878)
Ce (0.750, 0.530, 0.378)
Ce (0.750, 0.970, 0.378)
Ce (0.970, 0.750, 0.878)
Pu (0.250, 0.750, 0.750)
Pu (0.750, 0.250, 0.250)
Ga (0.057, 0.750, 0.370)
Ga (0.250, 0.557, 0.130)
Ga (0.250, 0.943, 0.130)
Ga (0.443, 0.750, 0.370)
Ga (0.557, 0.250, 0.630)
Ga (0.750, 0.057, 0.870)
Ga (0.750, 0.443, 0.870)
Ga (0.943, 0.250, 0.630)

=====

# 11
CePu3Ga8: optimized geometry, PBE.

Summary:
**Offset from the most stable computed form**: 0 meV per atom
**Crystal system**: trigonal
**Space group**: No. 160
**ΔH_f (0 K)**: -0.429 eV/atom

Lattice parameters (Å, degrees): 9.508 9.508 9.508 33.80 33.80 33.80
Sites, in units of the cell vectors:
Ce (0.000, 0.000, 0.000)
Pu (0.376, 0.376, 0.376)
Pu (0.499, 0.499, 0.499)
Pu (0.875, 0.875, 0.875)
Ga (0.188, 0.188, 0.188)
Ga (0.437, 0.437, 0.938)
Ga (0.437, 0.938, 0.437)
Ga (0.438, 0.938, 0.938)
Ga (0.688, 0.688, 0.688)
Ga (0.938, 0.437, 0.437)
Ga (0.938, 0.438, 0.938)
Ga (0.938, 0.938, 0.438)

=====

# 12
Ce2Pu3Ga3: optimized geometry, PBE.

Summary:
**Crystal system**: orthorhombic
**Space group**: No. 71
**ΔH_f (0 K)**: -0.210 eV/atom

Lattice parameters (Å, degrees): 9.528 9.528 9.528 155.13 150.43 39.01
Sites, in units of the cell vectors:
Ce (0.236, 0.236, 0.000)
Ce (0.764, 0.764, 0.000)
Pu (0.129, 0.629, 0.500)
Pu (0.500, 0.500, 0.000)
Pu (0.871, 0.371, 0.500)
Ga (0.000, 0.000, 0.000)
Ga (0.372, 0.872, 0.500)
Ga (0.628, 0.128, 0.500)

=====

# 13
Ce5Pu3Ga4: optimized geometry, PBE.

Summary:
**Crystal system**: triclinic
**Space group**: No. 1
**ΔH_f (0 K)**: -0.303 eV/atom

Lattice parameters (Å, degrees): 4.828 8.175 8.533 61.98 73.57 72.83
Sites, in units of the cell vectors:
Ce (0.000, 0.000, 0.000)
Ce (0.139, 0.171, 0.548)
Ce (0.296, 0.694, 0.713)
Ce (0.463, 0.843, 0.229)
Ce (0.737, 0.439, 0.085)
Pu (0.292, 0.208, 0.205)
Pu (0.595, 0.373, 0.436)
Pu (0.917, 0.528, 0.638)
Ga (0.092, 0.581, 0.232)
Ga (0.457, 0.260, 0.827)
Ga (0.651, 0.908, 0.788)
Ga (0.804, 0.972, 0.419)

=====

# 14
Ce4PuGa2: optimized geometry, PBE.

Summary:
**Crystal system**: tetragonal
**Space group**: No. 139
**ΔH_f (0 K)**: -0.025 eV/atom

Lattice parameters (Å, degrees): 7.152 7.152 7.152 134.59 134.59 66.16
Sites, in units of the cell vectors:
Ce (0.000, 0.500, 0.500)
Ce (0.250, 0.750, 0.500)
Ce (0.500, 0.000, 0.500)
Ce (0.750, 0.250, 0.500)
Pu (0.000, 0.000, 0.000)
Ga (0.378, 0.378, 0.000)
Ga (0.622, 0.622, 0.000)

=====

# 15
Ce5Pu2Ga2: optimized geometry, PBE.

Summary:
**Crystal system**: tetragonal
**Space group**: No. 123
**ΔH_f (0 K)**: -0.145 eV/atom

Lattice parameters (Å, degrees): 5.017 5.017 8.302 90.00 90.00 90.00
Sites, in units of the cell vectors:
Ce (0.000, 0.000, 0.000)
Ce (0.000, 0.500, 0.269)
Ce (0.000, 0.500, 0.731)
Ce (0.500, 0.000, 0.269)
Ce (0.500, 0.000, 0.731)
Pu (0.000, 0.000, 0.360)
Pu (0.000, 0.000, 0.640)
Ga (0.500, 0.500, 0.000)
Ga (0.500, 0.500, 0.500)

=====

# 16
Ce2Pu2Ga: optimized geometry, PBE.

Summary:
**Offset from the most stable computed form**: 5 meV per atom
**Crystal system**: hexagonal
**Space group**: No. 194
**ΔH_f (0 K)**: -0.009 eV/atom

Lattice parameters (Å, degrees): 5.072 5.072 11.742 90.00 90.00 120.00
Sites, in units of the cell vectors:
Ce (0.000, 0.000, 0.000)
Ce (0.000, 0.000, 0.500)
Ce (0.333, 0.667, 0.250)
Ce (0.667, 0.333, 0.750)
Pu (0.333, 0.667, 0.590)
Pu (0.333, 0.667, 0.910)
Pu (0.667, 0.333, 0.090)
Pu (0.667, 0.333, 0.410)
Ga (0.000, 0.000, 0.250)
Ga (0.000, 0.000, 0.750)

=====

# 17
Ce4Pu4Ga3: optimized geometry, PBE.

Summary:
**Crystal system**: monoclinic
**Space group**: No. 8
**ΔH_f (0 K)**: -0.210 eV/atom

Lattice parameters (Å, degrees): 15.205 15.205 3.496 93.22 93.22 18.81
Sites, in units of the cell vectors:
Ce (0.000, 0.000, 0.000)
Ce (0.218, 0.218, 0.910)
Ce (0.391, 0.391, 0.017)
Ce (0.571, 0.571, 0.518)
Pu (0.121, 0.121, 0.474)
Pu (0.471, 0.471, 0.669)
Pu (0.742, 0.742, 0.581)
Pu (0.817, 0.817, 0.969)
Ga (0.302, 0.302, 0.460)
Ga (0.656, 0.656, 0.045)
Ga (0.911, 0.911, 0.511)

=====

# 18
CePuGa: optimized geometry, PBE.

Summary:
**Offset from the most stable computed form**: 326 meV per atom
**Crystal system**: monoclinic
**Space group**: No. 8
**ΔH_f (0 K)**: 0.021 eV/atom

Lattice parameters (Å, degrees): 4.147 4.147 5.485 112.22 112.22 59.85
Sites, in units of the cell vectors:
Ce (0.000, 0.000, 0.000)
Pu (0.247, 0.247, 0.742)
Ga (0.461, 0.461, 0.384)

=====

# 19
Ce2Pu3Ga2: optimized geometry, PBE.

Summary:
**Crystal system**: monoclinic
**Space group**: No. 12
**ΔH_f (0 K)**: -0.202 eV/atom

Lattice parameters (Å, degrees): 5.452 5.452 7.001 114.85 114.85 52.16
Sites, in units of the cell vectors:
Ce (0.162, 0.162, 0.274)
Ce (0.838, 0.838, 0.726)
Pu (0.493, 0.493, 0.829)
Pu (0.500, 0.500, 0.500)
Pu (0.507, 0.507, 0.171)
Ga (0.170, 0.170, 0.800)
Ga (0.830, 0.830, 0.200)

=====

# 20
Ce6PuGa5: optimized geometry, PBE.

Summary:
**Crystal system**: monoclinic
**Space group**: No. 12
**ΔH_f (0 K)**: -0.406 eV/atom

Lattice parameters (Å, degrees): 8.676 8.676 5.348 100.30 100.30 45.75
Sites, in units of the cell vectors:
Ce (0.063, 0.591, 0.392)
Ce (0.230, 0.770, 0.000)
Ce (0.409, 0.937, 0.608)
Ce (0.591, 0.063, 0.392)
Ce (0.770, 0.230, 0.000)
Ce (0.937, 0.409, 0.608)
Pu (0.500, 0.500, 0.500)
Ga (0.000, 0.000, 0.500)
Ga (0.180, 0.180, 0.107)
Ga (0.334, 0.334, 0.897)
Ga (0.666, 0.666, 0.103)
Ga (0.820, 0.820, 0.893)

=====

# 21
CePu2Ga9: optimized geometry, PBE.

Summary:
**Offset from the most stable computed form**: 0 meV per atom
**Crystal system**: tetragonal
**Space group**: No. 123
**ΔH_f (0 K)**: -0.413 eV/atom

Lattice parameters (Å, degrees): 4.307 4.307 12.890 90.00 90.00 90.00
Sites, in units of the cell vectors:
Ce (0.000, 0.000, 0.000)
Pu (0.000, 0.000, 0.335)
Pu (0.000, 0.000, 0.665)
Ga (0.000, 0.500, 0.171)
Ga (0.000, 0.500, 0.500)
Ga (0.000, 0.500, 0.829)
Ga (0.500, 0.000, 0.171)
Ga (0.500, 0.000, 0.500)
Ga (0.500, 0.000, 0.829)
Ga (0.500, 0.500, 0.000)
Ga (0.500, 0.500, 0.334)
Ga (0.500, 0.500, 0.666)

=====

# 22
CePuGaRh: optimized geometry, PBE.

Summary:
**Offset from the most stable computed form**: 0 meV per atom
**Crystal system**: cubic
**Space group**: No. 216
**ΔH_f (0 K)**: -0.561 eV/atom

Lattice parameters (Å, degrees): 4.810 4.810 4.810 60.00 60.00 60.00
Sites, in units of the cell vectors:
Ce (0.000, 0.000, 0.000)
Pu (0.250, 0.250, 0.250)
Ga (0.750, 0.750, 0.750)
Rh (0.500, 0.500, 0.500)

=====

# 23
CePuGaRh: optimized geometry, PBE.

Summary:
**Offset from the most stable computed form**: 194 meV per atom
**Crystal system**: trigonal
**Space group**: No. 156
**ΔH_f (0 K)**: -0.367 eV/atom

Lattice parameters (Å, degrees): 4.736 4.736 5.045 90.00 90.00 120.00
Sites, in units of the cell vectors:
Ce (0.000, 0.000, 0.000)
Pu (0.333, 0.667, 0.567)
Ga (0.667, 0.333, 0.284)
Rh (0.667, 0.333, 0.782)